The following is a DFT calculation (GGA-PBE) of AcTb2Pm4Er after structural relaxation.

a = 5.984 Å, b = 5.984 Å, c = 7.728 Å
α = 90.00°, β = 90.00°, γ = 90.00°
Space group P4/mmm (No. 123)
One atom of each set of equivalent atoms:
Ac (0.000, 0.000, 0.000) [1 per cell]
Tb (0.000, 0.000, 0.500) [1 per cell]
Tb (0.500, 0.500, 0.000) [1 per cell]
Pm (0.000, 0.500, 0.270) [4 per cell]
Er (0.500, 0.500, 0.500) [1 per cell]

Results
- energy (eV/atom) = -4.49
- formation enthalpy at 0 K (eV per atom) = 0.127
- DOS at the Fermi energy (states/eV/cell) = 18.00



The following is a DFT calculation (GGA-PBE) of AcTbPm2Er after structural relaxation.

a = 8.470 Å, b = 12.108 Å, c = 7.341 Å
α = 90.00°, β = 90.00°, γ = 90.00°
Space group Cmcm (No. 63)
One atom of each set of equivalent atoms:
Ac (0.000, 0.246, 0.250) [4 per cell]
Tb (0.000, 0.045, 0.750) [4 per cell]
Pm (0.194, 0.500, 0.000) [8 per cell]
Er (0.000, 0.303, 0.750) [4 per cell]

Results
- energy (eV/atom) = -4.21
- formation enthalpy at 0 K (eV per atom) = 0.353
- DOS at the Fermi energy (states/eV/cell) = 26.40



The following is a DFT calculation (GGA-PBE) of Ac2TbPm5Er after structural relaxation.

a = 5.816 Å, b = 20.566 Å, c = 10.939 Å
α = 90.00°, β = 90.00°, γ = 90.00°
Space group Cmc2_1 (No. 36)
One atom of each set of equivalent atoms:
Ac (0.000, 0.113, 0.000) [4 per cell]
Ac (0.000, 0.117, 0.584) [4 per cell]
Tb (0.000, 0.408, 0.733) [4 per cell]
Pm (0.000, 0.019, 0.288) [4 per cell]
Pm (0.000, 0.282, 0.577) [4 per cell]
Pm (0.000, 0.295, 0.968) [4 per cell]
Pm (0.000, 0.387, 0.287) [4 per cell]
Pm (0.000, 0.483, 0.009) [4 per cell]
Er (0.000, 0.205, 0.276) [4 per cell]

Results
- energy (eV/atom) = -4.43
- formation enthalpy at 0 K (eV per atom) = 0.139
- DOS at the Fermi energy (states/eV/cell) = 48.99



The following is a DFT calculation (GGA-PBE) of AcTbPm4Er2 after structural relaxation.

a = 5.978 Å, b = 5.995 Å, c = 7.679 Å
α = 90.00°, β = 90.00°, γ = 90.00°
Space group Pmmm (No. 47)
One atom of each set of equivalent atoms:
Ac (0.000, 0.000, 0.000) [1 per cell]
Tb (0.500, 0.500, 0.500) [1 per cell]
Pm (0.000, 0.500, 0.268) [2 per cell]
Pm (0.500, 0.000, 0.269) [2 per cell]
Er (0.000, 0.000, 0.500) [1 per cell]
Er (0.500, 0.500, 0.000) [1 per cell]

Results
- energy (eV/atom) = -4.48
- formation enthalpy at 0 K (eV per atom) = 0.126
- DOS at the Fermi energy (states/eV/cell) = 16.83



The following is a DFT calculation (GGA-PBE) of AcTbPm2Er4 after structural relaxation.

a = 13.769 Å, b = 13.421 Å, c = 6.897 Å
α = 90.00°, β = 120.05°, γ = 90.00°
Space group C2/c (No. 15)
One atom of each set of equivalent atoms:
Ac (0.250, 0.250, 0.000) [4 per cell]
Tb (0.000, 0.000, 0.000) [4 per cell]
Pm (0.000, 0.500, 0.000) [4 per cell]
Pm (0.250, 0.250, 0.500) [4 per cell]
Er (0.000, 0.247, 0.012) [8 per cell]
Er (0.247, 0.008, 0.496) [8 per cell]

Results
- energy (eV/atom) = -4.12
- formation enthalpy at 0 K (eV per atom) = 0.438
- DOS at the Fermi energy (states/eV/cell) = 74.77



The following is a DFT calculation (GGA-PBE) of AcTbPm2Er5 after structural relaxation.

a = 8.826 Å, b = 8.826 Å, c = 15.442 Å
α = 90.00°, β = 90.00°, γ = 90.00°
Space group I4/mcm (No. 140)
One atom of each set of equivalent atoms:
Ac (0.000, 0.000, 0.250) [4 per cell]
Tb (0.000, 0.500, 0.250) [4 per cell]
Pm (0.116, 0.384, 0.000) [8 per cell]
Er (0.000, 0.000, 0.000) [4 per cell]
Er (0.207, 0.293, 0.368) [16 per cell]

Results
- energy (eV/atom) = -4.30
- formation enthalpy at 0 K (eV per atom) = 0.259
- DOS at the Fermi energy (states/eV/cell) = 38.96